# 1
Here is crystalline Pr2NdGdZn12Ge6 at its relaxed geometry from OQMD. Energies are from PBE.

The structure in POSCAR format:
```
Pr2NdGdZn12Ge6
1.0
-3.813 -6.635 -0.266
3.012 -1.641 -2.248
6.116 -3.959 11.085
Gd Ge Nd Pr Zn
1 6 1 2 12
Cartesian
2.038 -1.320 3.695 Gd
0.054 -3.349 -1.224 Ge
-0.413 -6.950 0.778 Ge
2.222 -4.092 2.224 Ge
1.199 -8.646 4.177 Ge
4.548 -5.608 6.447 Ge
3.370 -9.396 7.634 Ge
-0.886 -3.977 1.715 Nd
4.077 -2.639 7.389 Pr
3.190 -6.616 9.104 Pr
-0.720 -1.253 -0.050 Zn
-1.202 -5.532 -1.313 Zn
-2.874 -6.384 0.808 Zn
1.841 -2.356 0.446 Zn
1.217 -6.507 2.640 Zn
0.935 -4.294 4.388 Zn
0.430 -6.550 5.357 Zn
3.762 -4.192 4.360 Zn
2.088 -5.044 6.480 Zn
2.991 -7.652 5.853 Zn
6.183 -5.167 8.316 Zn
2.085 -9.594 9.797 Zn
```

The energy is -71.0 eV for the cell shown. The calculation puts the total magnetic moment at 0.0 μB per formula unit. Its space-group type is Pm.

# 2
Here is crystalline AcCoTe at its relaxed geometry from OQMD. Energies are from PBE.

The structure in POSCAR format:
```
AcCoTe
1.0
0.000 3.371 3.371
3.371 0.000 3.371
3.371 3.371 0.000
Ac Co Te
1 1 1
Cartesian
1.686 1.686 1.686 Ac
0.000 0.000 0.000 Co
5.057 5.057 5.057 Te
```

The energy is -15.9 eV for the cell shown. The calculation puts the total magnetic moment at 0.0 μB per formula unit. Its space-group type is F-43m.

# 3
Here is crystalline Rb6CdO4 at its relaxed geometry from OQMD. Energies are from PBE.

The structure in POSCAR format:
```
Rb6CdO4
1.0
9.082 0.000 0.000
-4.541 7.865 0.000
0.000 0.000 6.908
Cd O Rb
2 8 12
Cartesian
0.000 5.243 1.713 Cd
4.541 2.622 5.167 Cd
0.000 3.070 2.466 O
-1.882 6.330 2.466 O
1.882 6.330 2.466 O
4.541 2.622 2.941 O
2.658 1.535 5.920 O
6.423 1.535 5.920 O
4.541 4.795 5.920 O
0.000 5.243 6.395 O
4.541 0.590 0.984 Rb
2.782 3.637 0.984 Rb
6.300 3.637 0.984 Rb
1.926 1.112 3.271 Rb
7.155 1.112 3.271 Rb
4.541 5.641 3.271 Rb
-1.759 4.228 4.438 Rb
1.759 4.228 4.438 Rb
0.000 7.275 4.438 Rb
0.000 2.224 6.725 Rb
-2.615 6.753 6.725 Rb
2.615 6.753 6.725 Rb
```

The energy is -75.2 eV for the cell shown. Its space-group type is P6_3mc.

# 4
Here is crystalline Ho4SiBr5 at its relaxed geometry from OQMD. Energies are from PBE.

The structure in POSCAR format:
```
Ho4SiBr5
1.0
-0.988 -3.552 8.478
-0.230 -6.809 6.249
8.074 1.979 -0.148
Br Ho Si
5 4 1
Cartesian
0.294 -8.250 12.155 Br
2.457 -1.072 2.402 Br
3.428 -4.191 7.289 Br
4.398 -7.310 12.176 Br
6.562 -0.132 2.424 Br
-0.159 -6.581 9.563 Ho
1.784 0.435 -0.029 Ho
5.071 -8.817 14.608 Ho
7.015 -1.801 5.016 Ho
-0.609 -5.181 7.363 Si
```

The energy is -46.4 eV for the cell shown. The calculation puts the total magnetic moment at 0.0 μB per formula unit. Its space-group type is C2/m.

# 5
Here is crystalline Cs2NiCl4 at its relaxed geometry from OQMD. Energies are from PBE.

The structure in POSCAR format:
```
Cs2NiCl4
1.0
7.426 0.000 0.000
0.000 7.426 0.000
0.000 0.000 4.686
Cl Cs Ni
4 2 1
Cartesian
1.561 1.561 0.000 Cl
5.865 1.561 0.000 Cl
1.561 5.865 0.000 Cl
5.865 5.865 0.000 Cl
3.713 0.000 2.343 Cs
0.000 3.713 2.343 Cs
0.000 0.000 0.000 Ni
```

The energy is -24.4 eV for the cell shown. The calculation puts the total magnetic moment at 0.0 μB per formula unit. Its space-group type is P4/mmm.

# 6
Here is crystalline Dy3ZnNi8 at its relaxed geometry from OQMD. Energies are from PBE.

The structure in POSCAR format:
```
Dy3ZnNi8
1.0
6.510 -5.379 -1.806
7.310 -1.237 -4.429
8.513 -1.398 0.388
Dy Ni Zn
3 8 1
Cartesian
8.429 -3.025 -2.207 Dy
11.308 -4.058 -2.961 Dy
22.142 -7.946 -5.797 Dy
4.207 -1.510 -1.101 Ni
13.417 -4.115 -4.782 Ni
13.014 -6.206 -3.458 Ni
16.716 -6.822 -5.676 Ni
15.365 -5.514 -4.023 Ni
17.313 -6.902 -3.283 Ni
17.711 -4.844 -4.586 Ni
14.025 -4.196 -2.351 Ni
19.430 -6.973 -5.087 Zn
```

As for the formation enthalpy at 0 K: -0.43 eV/atom. The calculation puts the total magnetic moment at 0.0 μB per formula unit. Its space-group type is R3m.